A relaxed Nd2Sn2Ru crystal, computed with PBE.

Computed properties:
The calculated formation energy comes out at -51.1 kJ per mole of atoms. Its mass density is 7.81 g cm⁻³. The calculation puts the calculated volume at 26.65 A^3/atom. As for the crystal system: orthorhombic. The calculation puts the electronic total energy at -58.93 eV for the cell shown. As for the space-group type: Ibam (72).

Geometry as extended XYZ:
```
10
Lattice="6.270 0.000 0.000 0.000 6.427 0.000 -3.135 -3.214 6.614" Properties=species:S:1:pos:R:3 pbc="T T T"
Sn 0.000 2.012 5.543
Nd 0.000 1.865 2.132
Sn 0.000 5.226 1.071
Sn 3.135 -2.012 5.543
Sn 3.135 1.201 1.071
Ru 1.568 3.214 0.000
Nd 0.000 -1.349 4.482
Nd 3.135 4.563 2.132
Nd 3.135 1.349 4.482
Ru 4.703 3.214 0.000
```